Entry 1:
Zn5N | PBE | relaxed

Computed properties:
Density: 6.178 g/cm³
Symmetry: P6/mmm
Final energy: -1.588 eV per atom

Geometry as CIF:
```
data_Zn5N
_chemical_formula_sum 'Zn5 N1'
_cell_length_a 4.894
_cell_length_b 4.894
_cell_length_c 4.420
_cell_angle_alpha 90.00
_cell_angle_beta 90.00
_cell_angle_gamma 120.00
_space_group_name_H-M_alt 'P 1'
_space_group_IT_number 1
loop_
_space_group_symop_operation_xyz
'x,y,z'
loop_
_atom_site_label
_atom_site_type_symbol
_atom_site_fract_x
_atom_site_fract_y
_atom_site_fract_z
Zn1 Zn 0.500 0.000 0.500
Zn2 Zn 0.000 0.500 0.500
Zn3 Zn 0.667 0.333 0.000
Zn4 Zn 0.333 0.667 0.000
Zn5 Zn 0.500 0.500 0.500
N1 N 0.000 0.000 0.000
```

---

Entry 2:
Zr4ZnN3 | PBE | relaxed

Computed properties:
Density: 6.896 g/cm³
Symmetry: P6_3/mmc
Final energy: -8.870 eV per atom

Geometry as CIF:
```
data_Zr4ZnN3
_chemical_formula_sum 'Zr8 Zn2 N6'
_cell_length_a 3.268
_cell_length_b 3.268
_cell_length_c 24.594
_cell_angle_alpha 90.00
_cell_angle_beta 90.00
_cell_angle_gamma 120.00
_space_group_name_H-M_alt 'P 1'
_space_group_IT_number 1
loop_
_space_group_symop_operation_xyz
'x,y,z'
loop_
_atom_site_label
_atom_site_type_symbol
_atom_site_fract_x
_atom_site_fract_y
_atom_site_fract_z
Zr1 Zr 0.333 0.667 0.445
Zr2 Zr 0.000 0.000 0.159
Zr3 Zr 0.000 0.000 0.341
Zr4 Zr 0.667 0.333 0.945
Zr5 Zr 0.000 0.000 0.659
Zr6 Zr 0.333 0.667 0.055
Zr7 Zr 0.000 0.000 0.841
Zr8 Zr 0.667 0.333 0.555
Zn1 Zn 0.667 0.333 0.750
Zn2 Zn 0.333 0.667 0.250
N1 N 0.667 0.333 0.392
N2 N 0.667 0.333 0.108
N3 N 0.000 0.000 0.000
N4 N 0.000 0.000 0.500
N5 N 0.333 0.667 0.892
N6 N 0.333 0.667 0.608
```

---

Entry 3:
Zr3ZnN | PBE | relaxed

Computed properties:
Density: 6.798 g/cm³
Symmetry: Cmcm
Final energy: -7.939 eV per atom

Geometry as CIF:
```
data_Zr3ZnN
_chemical_formula_sum 'Zr6 Zn2 N2'
_cell_length_a 5.982
_cell_length_b 5.982
_cell_length_c 8.942
_cell_angle_alpha 90.00
_cell_angle_beta 90.00
_cell_angle_gamma 147.38
_space_group_name_H-M_alt 'P 1'
_space_group_IT_number 1
loop_
_space_group_symop_operation_xyz
'x,y,z'
loop_
_atom_site_label
_atom_site_type_symbol
_atom_site_fract_x
_atom_site_fract_y
_atom_site_fract_z
Zr1 Zr 0.374 0.626 0.548
Zr2 Zr 0.626 0.374 0.048
Zr3 Zr 0.626 0.374 0.452
Zr4 Zr 0.049 0.951 0.750
Zr5 Zr 0.374 0.626 0.952
Zr6 Zr 0.951 0.049 0.250
Zn1 Zn 0.745 0.255 0.750
Zn2 Zn 0.255 0.745 0.250
N1 N 0.000 0.000 0.500
N2 N 0.000 0.000 0.000
```